# 1
Cs2SbAuI6 | PBE | relaxed

D(E_F) ... 2.06 states/eV/cell
Formation energy from raw total energies ... -0.75 eV per atom
Volume ... 43.86 Å³/atom
Space group ... No. 225
Final energy ... -25.93 eV for the cell shown
M_tot ... 0.0000 μB per atom

```
Cs2SbAuI6
1.0
0.0000 6.0304 6.0304
6.0304 0.0000 6.0304
6.0304 6.0304 0.0000
Cs Sb Au I
2 1 1 6
direct
0.2500 0.2500 0.2500
0.7500 0.7500 0.7500
0.0000 0.0000 0.0000
0.5000 0.5000 0.5000
0.2529 0.2529 0.7471
0.2529 0.7471 0.2529
0.2529 0.7471 0.7471
0.7471 0.2529 0.2529
0.7471 0.2529 0.7471
0.7471 0.7471 0.2529
```



# 2
CsSb2AuI | PBE | relaxed

D(E_F) ... 4.18 states/eV/cell
Formation energy from raw total energies ... -0.05 eV per atom
Volume ... 42.49 Å³/atom
Space group ... No. 123
Final energy ... -14.17 eV for the cell shown
M_tot ... 0.3809 μB per atom

```
CsSb2AuI
1.0
5.3956 0.0000 0.0000
0.0000 5.3956 0.0000
0.0000 0.0000 7.2968
Cs Sb Au I
1 2 1 1
direct
0.0000 0.0000 0.0000
0.0000 0.5000 0.5000
0.5000 0.0000 0.5000
0.5000 0.5000 0.5000
0.5000 0.5000 0.0000
```



# 3
Cs2SbAuI | PBE | relaxed

D(E_F) ... 1.61 states/eV/cell
Formation energy from raw total energies ... -0.62 eV per atom
Volume ... 52.52 Å³/atom
Space group ... No. 123
Final energy ... -13.77 eV for the cell shown
M_tot ... 0.0000 μB per atom

```
Cs2SbAuI
1.0
7.2171 0.0000 0.0000
0.0000 7.2171 0.0000
0.0000 0.0000 5.0412
Cs Sb Au I
2 1 1 1
direct
0.0000 0.5000 0.0000
0.5000 0.0000 0.0000
0.0000 0.0000 0.5000
0.0000 0.0000 0.0000
0.5000 0.5000 0.5000
```



# 4
Cs2ScAuI6 | PBE | relaxed

Formation energy from raw total energies ... -1.06 eV per atom
Volume ... 42.21 Å³/atom
Space group ... No. 225
Final energy ... -31.25 eV for the cell shown
M_tot ... 0.0000 μB per atom

```
Cs2ScAuI6
1.0
0.0000 5.9537 5.9537
5.9537 0.0000 5.9537
5.9537 5.9537 0.0000
Cs Sc Au I
2 1 1 6
direct
0.2500 0.2500 0.2500
0.7500 0.7500 0.7500
0.0000 0.0000 0.0000
0.5000 0.5000 0.5000
0.2450 0.2450 0.7550
0.2450 0.7550 0.2450
0.2450 0.7550 0.7550
0.7550 0.2450 0.2450
0.7550 0.2450 0.7550
0.7550 0.7550 0.2450
```



# 5
Cs2ScAuI6 | PBE | relaxed

D(E_F) ... 0.00 states/eV/cell
Formation energy from raw total energies ... -1.11 eV per atom
Volume ... 45.92 Å³/atom
Space group ... No. 2
Final energy ... -31.71 eV for the cell shown
M_tot ... 0.0000 μB per atom

```
Cs2ScAuI6
1.0
8.3169 0.0000 0.0000
-1.7905 8.1672 0.0000
-3.2427 -4.0872 6.7602
Cs Sc Au I
2 1 1 6
direct
0.2484 0.2486 0.4969
0.7516 0.7514 0.5031
0.5000 0.0000 0.0000
0.0000 0.5000 0.0000
0.1436 0.8097 0.9995
0.2862 0.7858 0.5707
0.3526 0.2753 0.0007
0.6474 0.7247 0.9993
0.7138 0.2142 0.4293
0.8564 0.1903 0.0005
```



# 6
Cs2AuSeI | PBE | relaxed

D(E_F) ... 2.54 states/eV/cell
Formation energy from raw total energies ... -0.91 eV per atom
Volume ... 48.94 Å³/atom
Space group ... No. 123
Final energy ... -14.55 eV for the cell shown
M_tot ... 0.0000 μB per atom

```
Cs2AuSeI
1.0
7.0829 0.0000 0.0000
0.0000 7.0829 0.0000
0.0000 0.0000 4.8780
Cs Au Se I
2 1 1 1
direct
0.0000 0.5000 0.0000
0.5000 0.0000 0.0000
0.0000 0.0000 0.5000
0.0000 0.0000 0.0000
0.5000 0.5000 0.5000
```